No. 1
A plane-wave DFT calculation with PBE-GGA was carried out for a relaxed Ac3GaRu3 crystal.

For the offset from the most stable computed form, the calculation gives 0 meV/atom. As for the density of states at the Fermi level: 5.1 states/eV/f.u. As for the space group: No. 63. The formation energy is -227 meV/atom.

Cell: 6.116 6.116 14.253 Å, 90.00 90.00 139.68°
Sites, in units of the cell vectors:
Ac  0.018  0.982  0.750
Ac  0.295  0.705  0.606
Ac  0.295  0.705  0.894
Ac  0.705  0.295  0.106
Ac  0.705  0.295  0.394
Ac  0.982  0.018  0.250
Ga  0.000  0.000  0.000
Ga  0.000  0.000  0.500
Ru  0.283  0.717  0.250
Ru  0.418  0.582  0.086
Ru  0.418  0.582  0.414
Ru  0.582  0.418  0.586
Ru  0.582  0.418  0.914
Ru  0.717  0.283  0.750

---

No. 2
A plane-wave DFT calculation with PBE-GGA was carried out for a relaxed Ac4Ga5Ru crystal.

As for the density of states at the Fermi level: 6.0 states/eV/f.u. As for the space group: No. 79. The formation energy is -435 meV/atom.

Cell: 7.328 7.328 7.328 Å, 101.03 101.03 128.13°
Sites, in units of the cell vectors:
Ac  0.069  0.700  0.769
Ac  0.300  0.069  0.369
Ac  0.700  0.931  0.631
Ac  0.931  0.300  0.231
Ga  0.218  0.218  0.000
Ga  0.317  0.435  0.732
Ga  0.435  0.704  0.118
Ga  0.585  0.317  0.882
Ga  0.704  0.585  0.268
Ru  0.818  0.818  0.000

---

No. 3
A plane-wave DFT calculation with PBE-GGA was carried out for a relaxed Ac2Ga6Ru crystal.

For the offset from the most stable computed form, the calculation gives 86 meV/atom. As for the density of states at the Fermi level: 5.2 states/eV/f.u. As for the space group: No. 65. The formation energy is -420 meV/atom.

Cell: 7.129 7.129 4.207 Å, 90.00 90.00 98.38°
Sites, in units of the cell vectors:
Ac  0.229  0.771  0.000
Ac  0.771  0.229  0.000
Ga  0.130  0.395  0.500
Ga  0.326  0.326  0.000
Ga  0.395  0.130  0.500
Ga  0.605  0.870  0.500
Ga  0.674  0.674  0.000
Ga  0.870  0.605  0.500
Ru  0.500  0.500  0.500